(1)
# CsHfCd2W

CsHfCd2W at its PBEsol-relaxed geometry (meta-GGA SCAN, Alexandria).

The space group is P4/mmm (No. 123) and the conventional cell measures 5.522, 5.522 and 4.903 Å, with angles of 90.00, 90.00 and 90.00 degrees. The inequivalent atoms are Cs at (0.000, 0.000, 0.000), Hf at (0.500, 0.500, 0.000), Cd at (0.000, 0.500, 0.500) and W at (0.500, 0.500, 0.500).

As for the volume: 149.52 Å³/f.u. The calculation puts the density of states at the Fermi level at 6.01 states/eV per cell. Its energy relative to the elements is 0.855 eV/atom.



(2)
# Cs2YHfCd

Cs2YHfCd at its PBEsol-relaxed geometry (meta-GGA SCAN, Alexandria).

The space group is P4/mmm (No. 123) and the conventional cell measures 6.762, 6.762 and 5.283 Å, with angles of 90.00, 90.00 and 90.00 degrees. The inequivalent atoms are Cs at (0.000, 0.500, 0.000), Y at (0.000, 0.000, 0.000), Hf at (0.000, 0.000, 0.500) and Cd at (0.500, 0.500, 0.500).

As for the volume: 241.54 Å³/f.u. The calculation puts the density of states at the Fermi level at 6.39 states/eV per cell. Its energy relative to the elements is 1.269 eV/atom.



(3)
# CsCd3Hg

CsCd3Hg at its PBEsol-relaxed geometry (meta-GGA SCAN, Alexandria).

The space group is Pm-3m (No. 221) and the conventional cell measures 5.514, 5.514 and 5.514 Å, with angles of 90.00, 90.00 and 90.00 degrees. The inequivalent atoms are Cs at (0.000, 0.000, 0.000), Cd at (0.000, 0.500, 0.500) and Hg at (0.500, 0.500, 0.500).

As for the volume: 167.61 Å³/f.u. The calculation puts the density of states at the Fermi level at 2.25 states/eV per cell. The calculation puts the offset from the most stable computed form at 0 meV/atom. Its energy relative to the elements is 0.022 eV/atom.



(4)
# CsCd3Hg

CsCd3Hg at its PBEsol-relaxed geometry (meta-GGA SCAN, Alexandria).

The space group is Pm-3m (No. 221) and the conventional cell measures 6.835, 6.835 and 6.835 Å, with angles of 90.00, 90.00 and 90.00 degrees. The inequivalent atoms are Cs at (0.000, 0.000, 0.000), Cd at (0.000, 0.000, 0.500) and Hg at (0.500, 0.500, 0.500).

As for the volume: 319.37 Å³/f.u. The calculation puts the density of states at the Fermi level at 3.19 states/eV per cell. The calculation puts the offset from the most stable computed form at 586 meV/atom. Its energy relative to the elements is 0.609 eV/atom.



(5)
# CsCd2Hg2

CsCd2Hg2 at its PBEsol-relaxed geometry (meta-GGA SCAN, Alexandria).

The space group is I4/mmm (No. 139) and the conventional cell measures 4.796, 4.796 and 12.964 Å, with angles of 90.00, 90.00 and 90.00 degrees. The inequivalent atoms are Cs at (0.000, 0.000, 0.000), Cd at (0.000, 0.500, 0.250) and Hg at (0.000, 0.000, 0.382).

As for the volume: 149.08 Å³/f.u. The calculation puts the density of states at the Fermi level at 4.73 states/eV per cell. Its energy relative to the elements is -0.184 eV/atom.



(6)
# CsCdHg3

CsCdHg3 at its PBEsol-relaxed geometry (meta-GGA SCAN, Alexandria).

The space group is Pm-3m (No. 221) and the conventional cell measures 5.578, 5.578 and 5.578 Å, with angles of 90.00, 90.00 and 90.00 degrees. The inequivalent atoms are Cs at (0.000, 0.000, 0.000), Cd at (0.500, 0.500, 0.500) and Hg at (0.000, 0.500, 0.500).

As for the volume: 173.59 Å³/f.u. The calculation puts the density of states at the Fermi level at 1.80 states/eV per cell. Its energy relative to the elements is -0.198 eV/atom.